[1]
An optimized crystal structure of TmMg3Cu8, computed with GGA-PBE.

a = 5.035 Å, b = 5.035 Å, c = 8.707 Å
α = 73.19°, β = 73.19°, γ = 60.00°
Sites, in units of the cell vectors:
Tm1 0.876 0.876 0.372
Cu1 0.439 0.938 0.184
Cu2 0.938 0.439 0.184
Cu3 0.688 0.688 0.936
Cu4 0.187 0.187 0.438
Cu5 0.937 0.437 0.689
Cu6 0.439 0.439 0.184
Cu7 0.937 0.937 0.689
Cu8 0.437 0.937 0.689
Mg1 0.004 0.004 0.987
Mg2 0.373 0.373 0.880
Mg3 0.494 0.494 0.517

ΔH_f (0 K): -0.19 eV per atom
calculated volume: 180.2 Å³/f.u.
electronic total energy: -3.69 eV/atom
D(E_F): 0.50 states/eV per atom
SG: R3m (160)

[2]
An optimized crystal structure of CrAs2Pt, computed with GGA-PBE.

a = 4.231 Å, b = 4.231 Å, c = 8.477 Å
α = 75.55°, β = 75.55°, γ = 90.00°
Last column: magnetic moment on the atom in μB.
Sites, in units of the cell vectors:
Cr1 0.500 0.500 0.000  2.60
Cr2 0.250 0.750 0.500  2.61
As1 0.875 0.864 0.750  -0.07
As2 0.614 0.125 0.250  -0.07
As3 0.375 0.386 0.750  -0.07
As4 0.136 0.625 0.250  -0.07
Pt1 0.000 0.000 0.000  -0.08
Pt2 0.750 0.250 0.500  -0.08

ΔH_f (0 K): -0.05 eV per atom
energy above the most stable polymorph in this dataset: 30 meV/atom
calculated volume: 71.0 Å³/f.u.
electronic total energy: -6.29 eV/atom
D(E_F): 0.59 states/eV per atom
SG: I-42d (122)